First-principles (PBE) data for an optimized crystal structure of PmHoN, as listed in the Alexandria database.

Cell lengths 6.181, 3.530, 3.530 Å; angles 120.00, 90.00, 90.00 degrees
Positions (direct):
N: 0.316 0.333 0.667
Ho: 0.122 0.000 0.000
Pm: 0.562 0.667 0.333

- calculated total energy (eV per cell) = -20.574
- distance to the lowest polymorph of the same formula (meV per atom) = 0
- volume (Å³ per atom) = 22.23
- DOS(E_F) (states/eV/f.u.) = 2.80
- uncorrected formation energy (eV/atom) = -0.97
- space group = P3m1



First-principles (PBE) data for an optimized crystal structure of Pm3HoN, as listed in the Alexandria database.

Cell lengths 5.101, 5.101, 5.101 Å; angles 90.00, 90.00, 90.00 degrees
Positions (direct):
N: 0.000 0.000 0.000
Ho: 0.500 0.500 0.500
Pm: 0.000 0.500 0.000
Pm: 0.000 0.000 0.500
Pm: 0.500 0.000 0.000

- calculated total energy (eV per cell) = -29.516
- volume (Å³ per atom) = 26.54
- DOS(E_F) (states/eV/f.u.) = 5.17
- uncorrected formation energy (eV/atom) = -0.47
- space group = Pm-3m



First-principles (PBE) data for an optimized crystal structure of PmHo4N4, as listed in the Alexandria database.

Cell lengths 6.078, 6.078, 6.078 Å; angles 99.29, 99.29, 132.62 degrees
Positions (direct):
Pm: 0.000 0.000 0.000
Ho: 0.815 0.610 0.425
Ho: 0.185 0.390 0.575
Ho: 0.610 0.185 0.795
Ho: 0.390 0.815 0.205
N: 0.695 0.899 0.594
N: 0.305 0.101 0.406
N: 0.899 0.305 0.204
N: 0.101 0.695 0.796

- calculated total energy (eV per cell) = -69.686
- volume (Å³ per atom) = 16.81
- DOS(E_F) (states/eV/f.u.) = 4.49
- uncorrected formation energy (eV/atom) = -1.48
- space group = I4/m



First-principles (PBE) data for an optimized crystal structure of PmHo3N, as listed in the Alexandria database.

Cell lengths 4.956, 4.956, 4.956 Å; angles 90.00, 90.00, 90.00 degrees
Positions (direct):
N: 0.000 0.000 0.000
Ho: 0.000 0.500 0.000
Ho: 0.000 0.000 0.500
Ho: 0.500 0.000 0.000
Pm: 0.500 0.500 0.500

- calculated total energy (eV per cell) = -29.332
- volume (Å³ per atom) = 24.35
- DOS(E_F) (states/eV/f.u.) = 7.20
- uncorrected formation energy (eV/atom) = -0.50
- space group = Pm-3m



First-principles (PBE) data for an optimized crystal structure of PmHoN, as listed in the Alexandria database.

Cell lengths 3.401, 3.401, 7.150 Å; angles 103.76, 103.76, 90.00 degrees
Positions (direct):
N: 0.488 0.488 0.976
Ho: 0.329 0.329 0.658
Pm: 0.033 0.033 0.066

- calculated total energy (eV per cell) = -19.762
- distance to the lowest polymorph of the same formula (meV per atom) = 271
- volume (Å³ per atom) = 25.96
- DOS(E_F) (states/eV/f.u.) = 2.61
- uncorrected formation energy (eV/atom) = -0.70
- space group = I4mm



First-principles (PBE) data for an optimized crystal structure of Pm2Ho3N4, as listed in the Alexandria database.

Cell lengths 3.499, 6.099, 7.982 Å; angles 75.06, 77.34, 73.33 degrees
Positions (direct):
Pm: 0.604 0.180 0.613
Pm: 0.396 0.820 0.387
Ho: 0.000 0.000 0.000
Ho: 0.209 0.399 0.183
Ho: 0.791 0.601 0.817
N: 0.802 0.104 0.292
N: 0.198 0.896 0.708
N: 0.395 0.303 0.908
N: 0.605 0.697 0.092

- calculated total energy (eV per cell) = -69.402
- volume (Å³ per atom) = 17.30
- DOS(E_F) (states/eV/f.u.) = 4.12
- uncorrected formation energy (eV/atom) = -1.43
- space group = C2/m



First-principles (PBE) data for an optimized crystal structure of PmHo2N3, as listed in the Alexandria database.

Cell lengths 6.074, 6.074, 6.073 Å; angles 99.59, 99.59, 120.00 degrees
Positions (direct):
Pm: 0.000 0.000 0.000
Pm: 0.666 0.334 0.000
Ho: 0.833 0.167 0.500
Ho: 0.333 0.667 0.000
Ho: 0.168 0.832 0.500
Ho: 0.499 0.501 0.500
N: 0.575 0.908 0.743
N: 0.092 0.425 0.257
N: 0.921 0.581 0.743
N: 0.248 0.254 0.743
N: 0.419 0.079 0.257
N: 0.746 0.752 0.257

- calculated total energy (eV per cell) = -97.261
- volume (Å³ per atom) = 15.25
- DOS(E_F) (states/eV/f.u.) = 0.07
- uncorrected formation energy (eV/atom) = -1.62
- space group = C2/m



First-principles (PBE) data for an optimized crystal structure of Pm4HoN5, as listed in the Alexandria database.

Cell lengths 5.095, 6.200, 6.200 Å; angles 80.28, 65.74, 65.74 degrees
Positions (direct):
Pm: 0.408 0.399 0.802
Pm: 0.807 0.802 0.601
Pm: 0.210 0.198 0.399
Pm: 0.609 0.601 0.198
Ho: 0.013 0.000 0.000
N: 0.897 0.392 0.804
N: 0.289 0.804 0.608
N: 0.701 0.196 0.392
N: 0.093 0.608 0.196
N: 0.483 0.000 0.000

- calculated total energy (eV per cell) = -80.060
- volume (Å³ per atom) = 16.28
- DOS(E_F) (states/eV/f.u.) = 0.69
- uncorrected formation energy (eV/atom) = -1.49
- space group = I4



First-principles (PBE) data for an optimized crystal structure of PmHo4N5, as listed in the Alexandria database.

Cell lengths 3.488, 3.488, 12.564 Å; angles 97.98, 97.98, 90.00 degrees
Positions (direct):
Pm: 0.000 0.000 0.000
Ho: 0.397 0.397 0.795
Ho: 0.799 0.799 0.599
Ho: 0.201 0.201 0.401
Ho: 0.603 0.603 0.205
N: 0.103 0.103 0.206
N: 0.500 0.500 0.000
N: 0.897 0.897 0.794
N: 0.300 0.300 0.599
N: 0.700 0.700 0.401

- calculated total energy (eV per cell) = -81.344
- volume (Å³ per atom) = 14.98
- DOS(E_F) (states/eV/f.u.) = 0.59
- uncorrected formation energy (eV/atom) = -1.67
- space group = I4/mmm



First-principles (PBE) data for an optimized crystal structure of PmHoN, as listed in the Alexandria database.

Cell lengths 4.304, 4.304, 4.304 Å; angles 60.00, 60.00, 60.00 degrees
Positions (direct):
N: 0.250 0.250 0.250
Ho: 0.000 0.000 0.000
Pm: 0.500 0.500 0.500

- calculated total energy (eV per cell) = -18.578
- distance to the lowest polymorph of the same formula (meV per atom) = 665
- volume (Å³ per atom) = 18.79
- DOS(E_F) (states/eV/f.u.) = 1.25
- uncorrected formation energy (eV/atom) = -0.31
- space group = F-43m



First-principles (PBE) data for an optimized crystal structure of Pm3Ho2PuN6, as listed in the Alexandria database.

Cell lengths 6.095, 6.095, 6.127 Å; angles 99.57, 99.57, 119.95 degrees
Positions (direct):
Pm: 0.167 0.833 0.500
Pm: 0.833 0.167 0.500
Pm: 0.500 0.500 0.500
Ho: 0.334 0.666 0.000
Ho: 0.666 0.334 0.000
Pu: 0.000 0.000 0.000
N: 0.922 0.598 0.767
N: 0.753 0.753 0.234
N: 0.078 0.402 0.233
N: 0.598 0.922 0.767
N: 0.247 0.247 0.766
N: 0.402 0.078 0.233

- calculated total energy (eV per cell) = -105.705
- volume (Å³ per atom) = 15.50
- DOS(E_F) (states/eV/f.u.) = 6.35
- uncorrected formation energy (eV/atom) = -1.50
- space group = C2/m



First-principles (PBE) data for an optimized crystal structure of PmHoPuN3, as listed in the Alexandria database.

Cell lengths 3.540, 7.040, 10.106 Å; angles 115.92, 90.00, 90.00 degrees
Positions (direct):
Pm: 0.750 0.783 0.872
Pm: 0.250 0.217 0.128
Ho: 0.250 0.699 0.139
Ho: 0.750 0.301 0.861
Pu: 0.250 0.878 0.590
Pu: 0.750 0.122 0.410
N: 0.250 0.929 0.388
N: 0.750 0.956 0.142
N: 0.750 0.445 0.117
N: 0.750 0.071 0.612
N: 0.250 0.555 0.883
N: 0.250 0.044 0.858

- calculated total energy (eV per cell) = -111.861
- volume (Å³ per atom) = 18.88
- DOS(E_F) (states/eV/f.u.) = 7.39
- uncorrected formation energy (eV/atom) = -1.22
- space group = P2_1/m